[1]
The following is a PBE calculation of BaLiTa after structural relaxation, from Alexandria via LeMat-Bulk.

Geometry as POSCAR:
```
BaLiTa
1.0
5.183 0.000 0.000
0.000 5.341 0.000
0.000 0.000 12.328
Ba Li Ta
4 4 4
Direct
0.249 0.250 0.036
0.251 0.750 0.536
0.749 0.250 0.464
0.751 0.750 0.964
0.249 0.250 0.296
0.251 0.750 0.796
0.749 0.250 0.204
0.751 0.750 0.704
0.003 0.250 0.750
0.497 0.750 0.250
0.503 0.250 0.750
0.997 0.750 0.250
```

Results
As for the space-group type: Pnma, No. 62. The value obtained for the polymorph energy (0 for the lowest one) is 251 meV/atom. Its calculated formation energy is 680 meV per atom.

---

[2]
The following is a PBE calculation of BaLi2Ta after structural relaxation, from Alexandria via LeMat-Bulk.

Geometry as POSCAR:
```
BaLi2Ta
1.0
-2.268 2.268 4.772
2.268 -2.268 4.772
2.268 2.268 -4.772
Ba Li Ta
1 2 1
Direct
0.000 0.000 0.000
0.250 0.750 0.500
0.500 0.500 0.000
0.750 0.250 0.500
```

Results
As for the space-group type: I-4m2, No. 119. The value obtained for the polymorph energy (0 for the lowest one) is 327 meV/atom. Its calculated formation energy is 992 meV per atom.

---

[3]
The following is a PBE calculation of BaLi3Ta after structural relaxation, from Alexandria via LeMat-Bulk.

Geometry as POSCAR:
```
BaLi3Ta
1.0
4.903 0.000 0.000
0.000 4.903 0.000
0.000 0.000 4.903
Ba Li Ta
1 3 1
Direct
0.000 0.000 0.000
0.000 0.000 0.500
0.000 0.500 0.000
0.500 0.000 0.000
0.500 0.500 0.500
```

Results
As for the space-group type: Pm-3m, No. 221. The value obtained for the polymorph energy (0 for the lowest one) is 687 meV/atom. Its calculated formation energy is 1658 meV per atom.

---

[4]
The following is a PBE calculation of BaLi4Ta after structural relaxation, from Alexandria via LeMat-Bulk.

Geometry as POSCAR:
```
BaLi4Ta
1.0
0.000 4.093 4.093
4.093 0.000 4.093
4.093 4.093 0.000
Ba Li Ta
1 4 1
Direct
0.000 0.000 0.000
0.141 0.620 0.620
0.620 0.141 0.620
0.620 0.620 0.141
0.620 0.620 0.620
0.250 0.250 0.250
```

Results
As for the space-group type: F-43m, No. 216. Its calculated formation energy is 601 meV per atom.

---

[5]
The following is a PBE calculation of BaLiTa after structural relaxation, from Alexandria via LeMat-Bulk.

Geometry as POSCAR:
```
BaLiTa
1.0
3.220 0.000 0.000
-1.610 2.789 0.000
0.000 0.000 8.523
Ba Li Ta
1 1 1
Direct
0.000 0.000 0.000
0.333 0.667 0.384
0.667 0.333 0.659
```

Results
As for the space-group type: P3m1, No. 156. The value obtained for the polymorph energy (0 for the lowest one) is 497 meV/atom. Its calculated formation energy is 926 meV per atom.

---

[6]
The following is a PBE calculation of Ba2LiTa after structural relaxation, from Alexandria via LeMat-Bulk.

Geometry as POSCAR:
```
Ba2LiTa
1.0
0.000 4.181 4.181
4.181 0.000 4.181
4.181 4.181 0.000
Ba Li Ta
2 1 1
Direct
0.250 0.250 0.250
0.750 0.750 0.750
0.000 0.000 0.000
0.500 0.500 0.500
```

Results
As for the space-group type: Fm-3m, No. 225. The value obtained for the polymorph energy (0 for the lowest one) is 144 meV/atom. Its calculated formation energy is 925 meV per atom.

---

[7]
The following is a PBE calculation of BaLi2Ta after structural relaxation, from Alexandria via LeMat-Bulk.

Geometry as POSCAR:
```
BaLi2Ta
1.0
5.338 -1.485 0.000
5.338 1.485 0.000
-0.695 0.000 6.009
Ba Li Ta
1 2 1
Direct
0.000 0.000 0.000
0.503 0.503 0.514
0.763 0.763 0.261
0.250 0.250 0.697
```

Results
As for the space-group type: Cm, No. 8. The value obtained for the polymorph energy (0 for the lowest one) is 155 meV/atom. Its calculated formation energy is 820 meV per atom.

---

[8]
The following is a PBE calculation of Ba2LiTa after structural relaxation, from Alexandria via LeMat-Bulk.

Geometry as POSCAR:
```
Ba2LiTa
1.0
3.342 0.000 0.000
0.000 5.393 0.000
0.000 0.000 6.991
Ba Li Ta
2 1 1
Direct
0.000 0.000 0.000
0.500 0.500 0.359
0.000 0.000 0.585
0.500 0.500 0.817
```

Results
As for the space-group type: Pmm2, No. 25. The value obtained for the polymorph energy (0 for the lowest one) is 153 meV/atom. Its calculated formation energy is 935 meV per atom.

---

Across the entries above, E takes the values -4.55 -3.41 -2.25 -2.97 -4.30 -3.48 -3.58 -3.47 eV per atom, respectively.